[1]
! PBE-GGA Tb3TaSi6, relaxed; values from VASP
&SYSTEM
  ibrav = 0, nat = 20, ntyp = 3
/
ATOMIC_SPECIES
Tb 158.93 Tb.upf
Ta 180.95 Ta.upf
Si 28.09 Si.upf
CELL_PARAMETERS angstrom
5.4796 3.1636 3.6612
-5.4796 3.1636 3.6612
0.0000 -6.3273 3.6612
ATOMIC_POSITIONS angstrom
Tb -3.0988 0.9600 4.5765
Tb -2.3808 -2.2036 6.4071
Tb 0.7180 -3.1636 4.5765
Tb -0.7180 3.1636 6.4071
Tb 2.3808 2.2036 4.5765
Tb 3.0988 -0.9600 6.4071
Ta 0.0000 0.0000 0.0000
Ta 0.0000 0.0000 5.4918
Si -0.4024 -1.9923 1.7520
Si -1.5242 1.3446 1.7520
Si -1.5242 -1.3446 3.7397
Si 1.9266 0.6477 1.7520
Si -0.4024 1.9923 3.7397
Si 1.9266 -0.6477 3.7397
Si -1.9266 0.6477 7.2438
Si 0.4024 -1.9923 7.2438
Si -1.9266 -0.6477 9.2315
Si 1.5242 1.3446 7.2438
Si 1.5242 -1.3446 9.2315
Si 0.4024 1.9923 9.2315
! - volume (Å³/atom) = 19.0
! - crystal system = trigonal
! - energy relative to the elements, uncorrected (meV per atom) = -570
! - magnetic moment (μB/cell) = 0.000
! - D(E_F) (states/eV per atom) = 0.54


[2]
! PBE-GGA TbTaSi2Tc, relaxed; values from VASP
&SYSTEM
  ibrav = 0, nat = 10, ntyp = 4
/
ATOMIC_SPECIES
Tb 158.93 Tb.upf
Ta 180.95 Ta.upf
Si 28.09 Si.upf
Tc 98.00 Tc.upf
CELL_PARAMETERS angstrom
4.0112 0.0000 0.0000
0.0000 4.0112 0.0000
0.0000 0.0000 11.1469
ATOMIC_POSITIONS angstrom
Tb 0.0000 0.0000 0.0000
Tb 2.0056 2.0056 5.5735
Ta 0.0000 2.0056 8.3602
Ta 2.0056 0.0000 2.7867
Si 0.0000 0.0000 4.3738
Si 0.0000 0.0000 6.7732
Si 2.0056 2.0056 1.1997
Si 2.0056 2.0056 9.9472
Tc 0.0000 2.0056 2.7867
Tc 2.0056 0.0000 8.3602
! - volume (Å³/atom) = 17.9
! - crystal system = tetragonal
! - energy relative to the elements, uncorrected (meV per atom) = -646
! - magnetic moment (μB/cell) = 0.000
! - D(E_F) (states/eV per atom) = 0.53


[3]
! PBE-GGA Ta3SiTc, relaxed; values from VASP
&SYSTEM
  ibrav = 0, nat = 5, ntyp = 3
/
ATOMIC_SPECIES
Ta 180.95 Ta.upf
Si 28.09 Si.upf
Tc 98.00 Tc.upf
CELL_PARAMETERS angstrom
4.5876 0.0000 0.0000
0.0000 4.5876 0.0000
0.0000 0.0000 4.5876
ATOMIC_POSITIONS angstrom
Ta 0.0000 0.0000 2.2938
Ta 0.0000 2.2938 0.0000
Ta 2.2938 0.0000 0.0000
Si 0.0000 0.0000 0.0000
Tc 2.2938 2.2938 2.2938
! - volume (Å³/atom) = 19.3
! - crystal system = cubic
! - energy above the most stable polymorph in this dataset (meV/atom) = 0.0
! - energy relative to the elements, uncorrected (meV per atom) = 961
! - magnetic moment (μB/cell) = 0.609
! - D(E_F) (states/eV per atom) = 0.95


[4]
! PBE-GGA Ta3SiTc4, relaxed; values from VASP
&SYSTEM
  ibrav = 0, nat = 8, ntyp = 3
/
ATOMIC_SPECIES
Ta 180.95 Ta.upf
Si 28.09 Si.upf
Tc 98.00 Tc.upf
CELL_PARAMETERS angstrom
3.1619 0.0000 0.0000
0.0000 3.1619 0.0000
0.0000 0.0000 12.3924
ATOMIC_POSITIONS angstrom
Ta 0.0000 0.0000 0.0000
Ta 0.0000 0.0000 3.2265
Ta 0.0000 0.0000 9.1659
Si 0.0000 0.0000 6.1962
Tc 1.5810 1.5810 1.5971
Tc 1.5810 1.5810 4.7802
Tc 1.5810 1.5810 7.6122
Tc 1.5810 1.5810 10.7954
! - volume (Å³/atom) = 15.5
! - crystal system = tetragonal
! - energy relative to the elements, uncorrected (meV per atom) = -470
! - magnetic moment (μB/cell) = 0.000
! - D(E_F) (states/eV per atom) = 0.45


[5]
! PBE-GGA Ta2Si2Tc, relaxed; values from VASP
&SYSTEM
  ibrav = 0, nat = 10, ntyp = 3
/
ATOMIC_SPECIES
Ta 180.95 Ta.upf
Si 28.09 Si.upf
Tc 98.00 Tc.upf
CELL_PARAMETERS angstrom
6.4416 0.0000 0.0000
0.0000 6.4416 0.0000
0.0000 0.0000 3.6526
ATOMIC_POSITIONS angstrom
Ta 1.0763 2.1445 0.0000
Ta 2.1445 5.3653 0.0000
Ta 4.2971 1.0763 0.0000
Ta 5.3653 4.2971 0.0000
Si 0.8610 4.0818 1.8263
Si 2.3598 0.8610 1.8263
Si 4.0818 5.5806 1.8263
Si 5.5806 2.3598 1.8263
Tc 0.0000 0.0000 1.8263
Tc 3.2208 3.2208 1.8263
! - volume (Å³/atom) = 15.2
! - crystal system = tetragonal
! - energy relative to the elements, uncorrected (meV per atom) = -495
! - magnetic moment (μB/cell) = 0.000
! - D(E_F) (states/eV per atom) = 0.57


[6]
! PBE-GGA TaSiTc, relaxed; values from VASP
&SYSTEM
  ibrav = 0, nat = 12, ntyp = 3
/
ATOMIC_SPECIES
Ta 180.95 Ta.upf
Si 28.09 Si.upf
Tc 98.00 Tc.upf
CELL_PARAMETERS angstrom
3.3099 0.0000 0.0000
0.0000 4.6253 0.0000
0.0000 0.0000 11.9719
ATOMIC_POSITIONS angstrom
Ta 0.0000 0.0000 0.0000
Ta 0.0000 2.3126 5.9860
Ta 1.6549 0.0000 5.9860
Ta 1.6549 2.3126 0.0000
Si 0.0000 0.0000 7.9831
Si 0.0000 2.3126 1.9971
Si 1.6549 0.0000 1.9971
Si 1.6549 2.3126 7.9831
Tc 0.0000 0.0000 3.7988
Tc 0.0000 2.3126 9.7847
Tc 1.6549 0.0000 9.7847
Tc 1.6549 2.3126 3.7988
! - volume (Å³/atom) = 15.3
! - crystal system = orthorhombic
! - energy above the most stable polymorph in this dataset (meV/atom) = 447.3
! - energy relative to the elements, uncorrected (meV per atom) = -170
! - magnetic moment (μB/cell) = 0.001
! - D(E_F) (states/eV per atom) = 0.72


[7]
! PBE-GGA Ta2SiTc2, relaxed; values from VASP
&SYSTEM
  ibrav = 0, nat = 10, ntyp = 3
/
ATOMIC_SPECIES
Ta 180.95 Ta.upf
Si 28.09 Si.upf
Tc 98.00 Tc.upf
CELL_PARAMETERS angstrom
7.2287 0.0000 0.0000
0.0000 7.2287 0.0000
0.0000 0.0000 3.2072
ATOMIC_POSITIONS angstrom
Ta 1.1626 2.4517 0.0000
Ta 2.4517 6.0661 0.0000
Ta 4.7770 1.1626 0.0000
Ta 6.0661 4.7770 0.0000
Si 0.0000 0.0000 1.6036
Si 3.6144 3.6144 1.6036
Tc 1.0223 4.6366 1.6036
Tc 2.5921 1.0223 1.6036
Tc 4.6366 6.2065 1.6036
Tc 6.2065 2.5921 1.6036
! - volume (Å³/atom) = 16.8
! - crystal system = tetragonal
! - energy above the most stable polymorph in this dataset (meV/atom) = 0.0
! - energy relative to the elements, uncorrected (meV per atom) = 189
! - magnetic moment (μB/cell) = 0.000
! - D(E_F) (states/eV per atom) = 1.43


[8]
! PBE-GGA TaSiTc, relaxed; values from VASP
&SYSTEM
  ibrav = 0, nat = 6, ntyp = 3
/
ATOMIC_SPECIES
Ta 180.95 Ta.upf
Si 28.09 Si.upf
Tc 98.00 Tc.upf
CELL_PARAMETERS angstrom
3.1154 0.0000 0.0000
0.0000 3.1154 0.0000
0.0000 0.0000 9.2291
ATOMIC_POSITIONS angstrom
Ta 0.0000 0.0000 0.0000
Ta 1.5577 1.5577 4.6146
Si 0.0000 0.0000 2.9205
Si 1.5577 1.5577 7.5351
Tc 0.0000 0.0000 6.2614
Tc 1.5577 1.5577 1.6469
! - volume (Å³/atom) = 14.9
! - crystal system = tetragonal
! - energy above the most stable polymorph in this dataset (meV/atom) = 266.0
! - energy relative to the elements, uncorrected (meV per atom) = -351
! - magnetic moment (μB/cell) = 0.000
! - D(E_F) (states/eV per atom) = 0.71


[9]
! PBE-GGA Ta2SiTc2, relaxed; values from VASP
&SYSTEM
  ibrav = 0, nat = 10, ntyp = 3
/
ATOMIC_SPECIES
Ta 180.95 Ta.upf
Si 28.09 Si.upf
Tc 98.00 Tc.upf
CELL_PARAMETERS angstrom
4.1812 0.0000 0.0000
0.0000 4.1812 0.0000
0.0000 0.0000 10.9470
ATOMIC_POSITIONS angstrom
Ta 0.0000 2.0906 2.7367
Ta 0.0000 2.0906 8.2102
Ta 2.0906 0.0000 2.7367
Ta 2.0906 0.0000 8.2102
Si 0.0000 0.0000 0.0000
Si 2.0906 2.0906 5.4735
Tc 0.0000 0.0000 4.2536
Tc 0.0000 0.0000 6.6934
Tc 2.0906 2.0906 1.2199
Tc 2.0906 2.0906 9.7271
! - volume (Å³/atom) = 19.1
! - crystal system = tetragonal
! - energy above the most stable polymorph in this dataset (meV/atom) = 352.1
! - energy relative to the elements, uncorrected (meV per atom) = 541
! - magnetic moment (μB/cell) = 0.000
! - D(E_F) (states/eV per atom) = 0.57


[10]
! PBE-GGA TaSiTc4, relaxed; values from VASP
&SYSTEM
  ibrav = 0, nat = 6, ntyp = 3
/
ATOMIC_SPECIES
Ta 180.95 Ta.upf
Si 28.09 Si.upf
Tc 98.00 Tc.upf
CELL_PARAMETERS angstrom
0.0000 3.6086 3.6086
3.6086 0.0000 3.6086
3.6086 3.6086 0.0000
ATOMIC_POSITIONS angstrom
Ta 0.0000 0.0000 0.0000
Si 1.8043 1.8043 1.8043
Tc 4.5023 2.7148 2.7148
Tc 2.7148 4.5023 2.7148
Tc 2.7148 2.7148 4.5023
Tc 4.5023 4.5023 4.5023
! - volume (Å³/atom) = 15.7
! - crystal system = cubic
! - energy relative to the elements, uncorrected (meV per atom) = 176
! - magnetic moment (μB/cell) = 0.000
! - D(E_F) (states/eV per atom) = 0.79


[11]
! PBE-GGA TaSiTc, relaxed; values from VASP
&SYSTEM
  ibrav = 0, nat = 3, ntyp = 3
/
ATOMIC_SPECIES
Ta 180.95 Ta.upf
Si 28.09 Si.upf
Tc 98.00 Tc.upf
CELL_PARAMETERS angstrom
4.2783 0.0000 0.0000
-2.1392 3.7052 0.0000
0.0000 0.0000 2.9233
ATOMIC_POSITIONS angstrom
Ta 0.0000 0.0000 0.0000
Si 0.0000 2.4701 1.3539
Tc 2.1392 1.2351 1.2066
! - volume (Å³/atom) = 15.4
! - crystal system = trigonal
! - energy above the most stable polymorph in this dataset (meV/atom) = 305.7
! - energy relative to the elements, uncorrected (meV per atom) = -312
! - magnetic moment (μB/cell) = 0.000
! - D(E_F) (states/eV per atom) = 0.84


[12]
! PBE-GGA TaSiTc, relaxed; values from VASP
&SYSTEM
  ibrav = 0, nat = 18, ntyp = 3
/
ATOMIC_SPECIES
Ta 180.95 Ta.upf
Si 28.09 Si.upf
Tc 98.00 Tc.upf
CELL_PARAMETERS angstrom
-3.4993 5.7718 3.3454
3.4993 -5.7718 3.3454
3.4993 5.7718 -3.3454
ATOMIC_POSITIONS angstrom
Ta 1.7497 0.0347 0.0000
Ta 1.7497 3.2997 0.8274
Ta 1.7497 -2.2598 4.1253
Ta 1.7497 8.0316 0.7799
Ta 1.7497 2.4721 4.1727
Ta 1.7497 5.7371 3.3454
Si 3.5298 1.9366 -0.5696
Si 3.4689 -3.8352 2.7758
Si 1.7497 5.4806 -0.6692
Si 1.7497 0.2912 2.6761
Si -0.0304 3.8352 2.7758
Si 3.5298 3.8352 2.7758
Tc 3.7259 4.3088 -1.4295
Tc 3.2727 -1.4630 1.9158
Tc -0.2266 1.4630 1.9158
Tc 3.7259 1.4630 1.9158
Tc 0.0000 5.7718 1.0908
Tc 0.0000 0.0000 4.4362
! - volume (Å³/atom) = 15.0
! - crystal system = orthorhombic
! - energy above the most stable polymorph in this dataset (meV/atom) = 0.0
! - energy relative to the elements, uncorrected (meV per atom) = -617
! - magnetic moment (μB/cell) = 0.000
! - D(E_F) (states/eV per atom) = 0.51


Question: energy relative to the elements, uncorrected of number 10 (TaSiTc4)?
Answer: 176 meV per atom